[1]
The following is a DFT calculation (PBE) of a relaxed LuNiBi crystal.

Summary:
density = 8.5 g/cm3
calculated volume = 173.1 Å³/cell
final energy = -4.234 eV/atom
space group = No. 194

Unit cell a=4.9654 b=4.9654 c=8.1069 alpha=90.00 beta=90.00 gamma=120.00
Last column: nearest neighbours and their distance in Å.
Fractional positions:
Bi1 0.3333 0.6667 0.2500  3 Lu 2.87
Bi2 0.6667 0.3333 0.7500  3 Lu 2.87
Lu1 0.6667 0.3333 0.2500  3 Bi 2.87
Lu2 0.3333 0.6667 0.7500  3 Bi 2.87
Ni1 0.0000 0.0000 0.0000  6 Lu 3.51, 6 Bi 3.51
Ni2 0.0000 0.0000 0.5000  6 Bi 3.51, 6 Lu 3.51

=====

[2]
The following is a DFT calculation (PBE) of a relaxed Nb4SbN3 crystal.

Summary:
density = 8.3 g/cm3
calculated volume = 213.7 Å³/cell
final energy = -9.341 eV/atom
space group = No. 194

Unit cell a=3.2564 b=3.2564 c=23.2746 alpha=90.00 beta=90.00 gamma=120.00
Last column: nearest neighbours and their distance in Å.
Fractional positions:
N1 0.0000 0.0000 0.0000  6 Nb 2.29
N2 0.6667 0.3333 0.1080  6 Nb 2.15-2.23
N3 0.6667 0.3333 0.3920  6 Nb 2.15-2.23
N4 0.0000 0.0000 0.5000  6 Nb 2.29
N5 0.3333 0.6667 0.6080  6 Nb 2.15-2.23
N6 0.3333 0.6667 0.8920  6 Nb 2.15-2.23
Nb1 0.3333 0.6667 0.0561  6 N 2.23-2.29
Nb2 0.0000 0.0000 0.1526  3 N 2.15
Nb3 0.0000 0.0000 0.3474  3 N 2.15
Nb4 0.3333 0.6667 0.4439  6 N 2.23-2.29
Nb5 0.6667 0.3333 0.5561  6 N 2.23-2.29
Nb6 0.0000 0.0000 0.6526  3 N 2.15
Nb7 0.0000 0.0000 0.8474  3 N 2.15
Nb8 0.6667 0.3333 0.9439  6 N 2.23-2.29
Sb1 0.3333 0.6667 0.2500  6 Nb 2.94, 6 Sb 3.26
Sb2 0.6667 0.3333 0.7500  6 Nb 2.94, 6 Sb 3.26

=====

[3]
The following is a DFT calculation (PBE) of a relaxed CsRbHfTe3 crystal.

Summary:
density = 4.9 g/cm3
calculated volume = 1053.3 Å³/cell
energy above the lowest structure with this stoichiometry = 6.8 kJ/mol of atoms
final energy = -4.420 eV/atom
space group = No. 62

Unit cell a=18.0103 b=4.3641 c=13.4007 alpha=90.00 beta=90.00 gamma=90.00
Last column: nearest neighbours and their distance in Å.
Fractional positions:
Cs1 0.7013 0.2500 0.2149  5 Te 3.61-3.84
Cs2 0.2013 0.2500 0.2851  5 Te 3.61-3.84
Cs3 0.7987 0.7500 0.7149  5 Te 3.61-3.84
Cs4 0.2987 0.7500 0.7851  5 Te 3.61-3.84
Hf1 0.4595 0.2500 0.1412  6 Te 2.76-3.00
Hf2 0.9595 0.2500 0.3588  6 Te 2.76-3.00
Hf3 0.0405 0.7500 0.6412  6 Te 2.76-3.00
Hf4 0.5405 0.7500 0.8588  6 Te 2.76-3.00
Rb1 0.8911 0.7500 0.0653  4 Te 3.48-3.75
Rb2 0.3911 0.7500 0.4347  4 Te 3.48-3.75
Rb3 0.6089 0.2500 0.5653  4 Te 3.48-3.75
Rb4 0.1089 0.2500 0.9347  4 Te 3.48-3.75
Te1 0.5640 0.7500 0.0794  3 Hf 2.99-3.00
Te2 0.3497 0.7500 0.1601  2 Hf 2.96
Te3 0.0201 0.2500 0.1693  1 Hf 2.76
Te4 0.5201 0.2500 0.3307  1 Hf 2.76
Te5 0.8497 0.7500 0.3399  2 Hf 2.96
Te6 0.0640 0.7500 0.4206  3 Hf 2.99-3.00
Te7 0.9360 0.2500 0.5794  3 Hf 2.99-3.00
Te8 0.1503 0.2500 0.6601  2 Hf 2.96
Te9 0.4799 0.7500 0.6693  1 Hf 2.76
Te10 0.9799 0.7500 0.8307  1 Hf 2.76
Te11 0.6503 0.2500 0.8399  2 Hf 2.96
Te12 0.4360 0.2500 0.9206  3 Hf 2.99-3.00

=====

[4]
The following is a DFT calculation (PBE) of a relaxed LuTaGa crystal.

Summary:
density = 9.8 g/cm3
calculated volume = 72.4 Å³/cell
energy above the lowest structure with this stoichiometry = 0.0 kJ/mol of atoms
final energy = -5.681 eV/atom
space group = No. 216

Unit cell a=4.6783 b=4.6783 c=4.6783 alpha=60.00 beta=60.00 gamma=60.00
Last column: nearest neighbours and their distance in Å.
Fractional positions:
Ga1 0.2500 0.2500 0.2500  4 Ta 2.86
Lu1 0.7500 0.7500 0.7500  4 Ta 2.86
Ta1 0.0000 0.0000 0.0000  4 Ga 2.86, 4 Lu 2.86